# 1
Compound: Tb3Te
Source: Alexandria
Functional: GGA-PBE
Structure: optimized geometry

Raw formation energy: -0.4328 eV/atom
Energy above the lowest structure with this stoichiometry: 20.9 kJ per mole of atoms

```
data_Tb3Te
_chemical_formula_sum 'Tb6 Te2'
_symmetry_space_group_name_H-M 'I 4/m m m'
_symmetry_Int_Tables_number 139
_symmetry_space_group_name_Hall '-I 4 2'
_cell_length_a 4.6642
_cell_length_b 4.6642
_cell_length_c 10.5564
_cell_angle_alpha 90.00
_cell_angle_beta 90.00
_cell_angle_gamma 90.00
loop_
_atom_site_label
_atom_site_type_symbol
_atom_site_fract_x
_atom_site_fract_y
_atom_site_fract_z
Tb1 Tb 0.0000 0.0000 0.0000
Tb2 Tb 0.0000 0.5000 0.2500
Te1 Te 0.0000 0.0000 0.5000
```



# 2
Compound: Pm2EuOs
Source: Alexandria
Functional: GGA-PBE
Structure: optimized geometry

ΔE_f: -0.021 eV per formula unit
Energy above the lowest structure with this stoichiometry: 0.0 kJ per mole of atoms

```
data_Pm2EuOs
_chemical_formula_sum 'Pm2 Eu1 Os1'
_symmetry_space_group_name_H-M 'P 4/m m m'
_symmetry_Int_Tables_number 123
_symmetry_space_group_name_Hall '-P 4 2'
_cell_length_a 3.5015
_cell_length_b 3.5015
_cell_length_c 9.9650
_cell_angle_alpha 90.00
_cell_angle_beta 90.00
_cell_angle_gamma 90.00
loop_
_atom_site_label
_atom_site_type_symbol
_atom_site_fract_x
_atom_site_fract_y
_atom_site_fract_z
Pm1 Pm 0.0000 0.0000 0.1707
Eu1 Eu 0.5000 0.5000 0.5000
Os1 Os 0.5000 0.5000 0.0000
```



# 3
Compound: SiTeHN2
Source: Alexandria
Functional: GGA-PBE
Structure: optimized geometry

Energy above the lowest structure with this stoichiometry: 0.0 kJ per mole of atoms

```
data_SiTeHN2
_chemical_formula_sum 'Si1 Te1 H1 N2'
_symmetry_space_group_name_H-M 'P 4/m m m'
_symmetry_Int_Tables_number 123
_symmetry_space_group_name_Hall '-P 4 2'
_cell_length_a 3.3786
_cell_length_b 3.3786
_cell_length_c 6.6831
_cell_angle_alpha 90.00
_cell_angle_beta 90.00
_cell_angle_gamma 90.00
loop_
_atom_site_label
_atom_site_type_symbol
_atom_site_fract_x
_atom_site_fract_y
_atom_site_fract_z
Si1 Si 0.0000 0.0000 0.0000
Te1 Te 0.0000 0.0000 0.5000
H1 H 0.5000 0.5000 0.5000
N1 N 0.0000 0.5000 0.0000
```



# 4
Compound: TbCeTh3
Source: Alexandria
Functional: GGA-PBE
Structure: optimized geometry

ΔE_f: 0.169 eV per formula unit

```
data_TbCeTh3
_chemical_formula_sum 'Tb2 Ce2 Th6'
_symmetry_space_group_name_H-M 'P 63 m c'
_symmetry_Int_Tables_number 186
_symmetry_space_group_name_Hall 'P 6c -2c'
_cell_length_a 3.5447
_cell_length_b 3.5447
_cell_length_c 28.8201
_cell_angle_alpha 90.00
_cell_angle_beta 90.00
_cell_angle_gamma 120.00
loop_
_atom_site_label
_atom_site_type_symbol
_atom_site_fract_x
_atom_site_fract_y
_atom_site_fract_z
Tb1 Tb 0.0000 0.0000 0.0000
Ce1 Ce 0.3333 0.6667 0.1964
Th1 Th 0.0000 0.0000 0.2949
Th2 Th 0.3333 0.6667 0.5998
Th3 Th 0.3333 0.6667 0.8955
```



# 5
Compound: Nd2S4N2O17
Source: Alexandria
Functional: GGA-PBE
Structure: optimized geometry

Raw formation energy: -0.9444 eV/atom

```
data_Nd2S4N2O17
_chemical_formula_sum 'Nd2 S4 N2 O17'
_symmetry_space_group_name_H-M 'P 1'
_symmetry_Int_Tables_number 1
_cell_length_a 6.9580
_cell_length_b 6.9859
_cell_length_c 9.8100
_cell_angle_alpha 98.93
_cell_angle_beta 109.17
_cell_angle_gamma 104.92
loop_
_symmetry_equiv_pos_as_xyz
'x,y,z'
loop_
_atom_site_label
_atom_site_type_symbol
_atom_site_fract_x
_atom_site_fract_y
_atom_site_fract_z
Nd1 Nd 0.0000 0.0000 0.0000
Nd2 Nd 0.1711 0.6498 0.5069
S1 S 0.1476 0.0956 0.3455
S2 S 0.1942 0.5681 0.1218
S3 S 0.4637 0.0608 0.8706
S4 S 0.7759 0.7885 0.6408
N1 N 0.4568 0.6054 0.1909
N2 N 0.4861 0.2269 0.7682
O1 O 0.0352 0.4654 0.6793
O2 O 0.0950 0.3713 0.0082
O3 O 0.1217 0.5650 0.2464
O4 O 0.1337 0.2768 0.4457
O5 O 0.1725 0.7416 0.0584
O6 O 0.2459 0.9788 0.4454
O7 O 0.2823 0.1752 0.2626
O8 O 0.3169 0.1032 0.9395
O9 O 0.3761 0.8539 0.7669
O10 O 0.5444 0.6784 0.5540
O11 O 0.6801 0.1013 0.9819
O12 O 0.6898 0.6710 0.9186
O13 O 0.8170 0.9978 0.7291
O14 O 0.8350 0.3516 0.3730
O15 O 0.8700 0.6817 0.7603
O16 O 0.8974 0.7882 0.5424
O17 O 0.9314 0.9673 0.2316
```



# 6
Compound: Sc2OsBr
Source: Alexandria
Functional: GGA-PBE
Structure: optimized geometry

Raw formation energy: 0.3695 eV/atom
Energy above the lowest structure with this stoichiometry: 108.0 kJ per mole of atoms

```
data_Sc2OsBr
_chemical_formula_sum 'Sc8 Os4 Br4'
_symmetry_space_group_name_H-M 'F -4 3 m'
_symmetry_Int_Tables_number 216
_symmetry_space_group_name_Hall 'F -4 2 3'
_cell_length_a 6.7140
_cell_length_b 6.7140
_cell_length_c 6.7140
_cell_angle_alpha 90.00
_cell_angle_beta 90.00
_cell_angle_gamma 90.00
loop_
_atom_site_label
_atom_site_type_symbol
_atom_site_fract_x
_atom_site_fract_y
_atom_site_fract_z
Sc1 Sc 0.0000 0.0000 0.0000
Sc2 Sc 0.2500 0.2500 0.2500
Os1 Os 0.2500 0.2500 0.7500
Br1 Br 0.0000 0.0000 0.5000
```



# 7
Compound: Y2Zn3Hg
Source: Alexandria
Functional: GGA-PBE
Structure: optimized geometry

ΔE_f: -2.464 eV per formula unit
Energy above the lowest structure with this stoichiometry: 0.0 kJ per mole of atoms

```
data_Y2Zn3Hg
_chemical_formula_sum 'Y16 Zn24 Hg8'
_symmetry_space_group_name_H-M 'F m m m'
_symmetry_Int_Tables_number 69
_symmetry_space_group_name_Hall '-F 2 2'
_cell_length_a 7.0885
_cell_length_b 9.1586
_cell_length_c 15.8210
_cell_angle_alpha 90.00
_cell_angle_beta 90.00
_cell_angle_gamma 90.00
loop_
_atom_site_label
_atom_site_type_symbol
_atom_site_fract_x
_atom_site_fract_y
_atom_site_fract_z
Y1 Y 0.2502 0.0000 0.0000
Y2 Y 0.2500 0.2500 0.2500
Zn1 Zn 0.0000 0.0000 0.1616
Zn2 Zn 0.0000 0.2428 0.0810
Hg1 Hg 0.0000 0.0000 0.3336
```



# 8
Compound: Cr4RhAu
Source: Alexandria
Functional: GGA-PBE
Structure: optimized geometry

ΔE_f: 0.867 eV per formula unit

```
data_Cr4RhAu
_chemical_formula_sum 'Cr16 Rh4 Au4'
_symmetry_space_group_name_H-M 'F -4 3 m'
_symmetry_Int_Tables_number 216
_symmetry_space_group_name_Hall 'F -4 2 3'
_cell_length_a 6.7872
_cell_length_b 6.7872
_cell_length_c 6.7872
_cell_angle_alpha 90.00
_cell_angle_beta 90.00
_cell_angle_gamma 90.00
loop_
_atom_site_label
_atom_site_type_symbol
_atom_site_fract_x
_atom_site_fract_y
_atom_site_fract_z
Cr1 Cr 0.1228 0.1228 0.3772
Rh1 Rh 0.0000 0.0000 0.0000
Au1 Au 0.2500 0.2500 0.7500
```



# 9
Compound: PmTlPO4
Source: Alexandria
Functional: GGA-PBE
Structure: optimized geometry

Raw formation energy: -2.2982 eV/atom

```
data_PmTlPO4
_chemical_formula_sum 'Pm2 Tl2 P2 O8'
_symmetry_space_group_name_H-M 'P 1 21/m 1'
_symmetry_Int_Tables_number 11
_cell_length_a 6.0269
_cell_length_b 5.4748
_cell_length_c 9.7639
_cell_angle_alpha 90.00
_cell_angle_beta 102.02
_cell_angle_gamma 90.00
loop_
_symmetry_equiv_pos_as_xyz
'x,y,z'
'-x,-y,-z'
'-x,y+1/2,-z'
'x,-y+1/2,z'
loop_
_atom_site_label
_atom_site_type_symbol
_atom_site_fract_x
_atom_site_fract_y
_atom_site_fract_z
Pm1 Pm 0.2429 0.2500 0.0644
Tl1 Tl 0.4085 0.2500 0.4577
P1 P 0.2456 0.7500 0.8860
O1 O 0.0844 0.5247 0.8783
O2 O 0.4001 0.7500 0.7798
O3 O 0.4072 0.7500 0.0351
```



# 10
Compound: Dy7Bi2Pt2
Source: Alexandria
Functional: GGA-PBE
Structure: optimized geometry

ΔE_f: -8.742 eV per formula unit
Energy above the lowest structure with this stoichiometry: 0.0 kJ per mole of atoms

```
data_Dy7Bi2Pt2
_chemical_formula_sum 'Dy14 Bi4 Pt4'
_symmetry_space_group_name_H-M 'I m m 2'
_symmetry_Int_Tables_number 44
_cell_length_a 3.9286
_cell_length_b 16.0188
_cell_length_c 9.8839
_cell_angle_alpha 90.00
_cell_angle_beta 90.00
_cell_angle_gamma 90.00
loop_
_symmetry_equiv_pos_as_xyz
'x,y,z'
'-x,-y,z'
'-x,y,z'
'x,-y,z'
'x+1/2,y+1/2,z+1/2'
'-x+1/2,-y+1/2,z+1/2'
'-x+1/2,y+1/2,z+1/2'
'x+1/2,-y+1/2,z+1/2'
loop_
_atom_site_label
_atom_site_type_symbol
_atom_site_fract_x
_atom_site_fract_y
_atom_site_fract_z
Dy1 Dy 0.0000 0.0000 0.0000
Dy2 Dy 0.0000 0.1263 0.5765
Dy3 Dy 0.0000 0.3141 0.3708
Dy4 Dy 0.0000 0.3521 0.7207
Bi1 Bi 0.0000 0.0000 0.3292
Bi2 Bi 0.0000 0.5000 0.2407
Pt1 Pt 0.0000 0.2396 0.0656
```



# 11
Compound: TiReGeOs
Source: Alexandria
Functional: GGA-PBE
Structure: optimized geometry

ΔE_f: -0.901 eV per formula unit

```
data_TiReGeOs
_chemical_formula_sum 'Ti4 Re4 Ge4 Os4'
_symmetry_space_group_name_H-M 'F -4 3 m'
_symmetry_Int_Tables_number 216
_symmetry_space_group_name_Hall 'F -4 2 3'
_cell_length_a 6.1576
_cell_length_b 6.1576
_cell_length_c 6.1576
_cell_angle_alpha 90.00
_cell_angle_beta 90.00
_cell_angle_gamma 90.00
loop_
_atom_site_label
_atom_site_type_symbol
_atom_site_fract_x
_atom_site_fract_y
_atom_site_fract_z
Ti1 Ti 0.0000 0.0000 0.0000
Re1 Re 0.2500 0.2500 0.2500
Ge1 Ge 0.0000 0.0000 0.5000
Os1 Os 0.2500 0.2500 0.7500
```



# 12
Compound: SrPrEuTm
Source: Alexandria
Functional: GGA-PBE
Structure: optimized geometry

ΔE_f: 0.756 eV per formula unit

```
data_SrPrEuTm
_chemical_formula_sum 'Sr4 Pr4 Eu4 Tm4'
_symmetry_space_group_name_H-M 'F -4 3 m'
_symmetry_Int_Tables_number 216
_symmetry_space_group_name_Hall 'F -4 2 3'
_cell_length_a 8.5251
_cell_length_b 8.5251
_cell_length_c 8.5251
_cell_angle_alpha 90.00
_cell_angle_beta 90.00
_cell_angle_gamma 90.00
loop_
_atom_site_label
_atom_site_type_symbol
_atom_site_fract_x
_atom_site_fract_y
_atom_site_fract_z
Sr1 Sr 0.0000 0.0000 0.0000
Pr1 Pr 0.0000 0.0000 0.5000
Eu1 Eu 0.2500 0.2500 0.2500
Tm1 Tm 0.2500 0.2500 0.7500
```



Number 5 is which compound? Nd2S4N2O17